Entry from the Alexandria database: a geometry-optimized PrHoPdRh structure (PBE-GGA). Values from VASP.

Structure (Quantum ESPRESSO input):
```
&SYSTEM
  ibrav = 0, nat = 4, ntyp = 4
/
ATOMIC_SPECIES
Pr 140.91 Pr.upf
Ho 164.93 Ho.upf
Pd 106.42 Pd.upf
Rh 102.91 Rh.upf
CELL_PARAMETERS angstrom
0.000 3.533 3.533
3.533 0.000 3.533
3.533 3.533 0.000
ATOMIC_POSITIONS angstrom
Pr 0.000 0.000 0.000
Ho 3.533 3.533 3.533
Pd 1.767 1.767 1.767
Rh 5.300 5.300 5.300
```

Computed properties:
Total magnetic moment, μB per cell: 0.00
Offset from the most stable computed form, meV per atom: 37
E_tot, eV/atom: -6.24